Entry 1:
VASP calculation (PBE-GGA) on an optimized crystal structure of RbSr2F.

Cell: 8.287 8.287 8.274 Å, 59.95 59.95 90.00°
Fractional positions:
Sr (0.376, 0.125, 0.250)
Sr (0.374, 0.625, 0.250)
Sr (0.375, 0.624, 0.750)
Sr (0.875, 0.626, 0.750)
Rb (0.000, 0.000, 0.000)
Rb (0.750, 0.250, 0.500)
F (0.500, 0.500, 0.000)
F (0.250, 0.750, 0.500)

Formation energy (no corrections) (eV per atom): -1.29
DOS(E_F) (states/eV per atom): 0.67
Excess energy over the best structure of this formula in the dataset (meV/atom): 0.0

---

Entry 2:
VASP calculation (PBE-GGA) on an optimized crystal structure of RbSrF2.

Cell: 8.066 8.066 8.066 Å, 29.66 29.66 29.66°
Fractional positions:
Sr (0.500, 0.500, 0.500)
Rb (0.000, 0.000, 0.000)
F (0.872, 0.872, 0.872)
F (0.128, 0.128, 0.128)

Formation energy (no corrections) (eV per atom): -2.76
DOS(E_F) (states/eV per atom): 0.25
Excess energy over the best structure of this formula in the dataset (meV/atom): 0.0

---

Entry 3:
VASP calculation (PBE-GGA) on an optimized crystal structure of Rb2SrF7.

Cell: 6.416 6.416 6.424 Å, 60.04 60.04 90.00°
Last column: magnetic moment on the atom in μB.
Fractional positions:
Sr (0.000, 0.000, 0.000)  0.05
Rb (0.750, 0.250, 0.500)  0.00
Rb (0.250, 0.750, 0.500)  0.00
F (0.500, 0.500, 0.000)  1.06
F (0.257, 0.257, 0.486)  0.28
F (0.743, 0.743, 0.514)  0.28
F (0.258, 0.258, 0.000)  0.28
F (0.742, 0.742, 0.000)  0.28
F (0.742, 0.258, 0.000)  0.28
F (0.258, 0.742, 0.000)  0.28

Formation energy (no corrections) (eV per atom): -2.08
DOS(E_F) (states/eV per atom): 0.00

---

Entry 4:
VASP calculation (PBE-GGA) on an optimized crystal structure of Rb2SrF4.

Cell: 6.664 6.751 14.258 Å, 90.00 90.00 90.00°
Last column: magnetic moment on the atom in μB.
Fractional positions:
Sr (0.000, 0.000, 0.500)  0.00
Sr (0.500, 0.500, 0.500)  0.00
Sr (0.000, 0.500, 0.000)  0.00
Sr (0.500, 0.000, 0.000)  0.00
Rb (0.994, 0.955, 0.846)  0.00
Rb (0.494, 0.545, 0.154)  0.00
Rb (0.006, 0.455, 0.654)  0.00
Rb (0.506, 0.045, 0.346)  0.00
Rb (0.006, 0.045, 0.154)  0.00
Rb (0.506, 0.455, 0.846)  0.00
Rb (0.994, 0.545, 0.346)  0.00
Rb (0.494, 0.955, 0.654)  0.00
F (0.792, 0.709, 0.530)  0.01
F (0.292, 0.791, 0.470)  0.01
F (0.208, 0.209, 0.970)  0.01
F (0.708, 0.291, 0.030)  0.01
F (0.208, 0.291, 0.470)  0.01
F (0.708, 0.209, 0.530)  0.01
F (0.792, 0.791, 0.030)  0.01
F (0.292, 0.709, 0.970)  0.01
F (0.083, 0.038, 0.663)  0.09
F (0.583, 0.462, 0.337)  0.09
F (0.917, 0.538, 0.837)  0.09
F (0.417, 0.962, 0.163)  0.09
F (0.917, 0.962, 0.337)  0.09
F (0.417, 0.538, 0.663)  0.09
F (0.083, 0.462, 0.163)  0.09
F (0.583, 0.038, 0.837)  0.09

Formation energy (no corrections) (eV per atom): -3.19
DOS(E_F) (states/eV per atom): 0.00
Excess energy over the best structure of this formula in the dataset (meV/atom): 0.0

---

Entry 5:
VASP calculation (PBE-GGA) on an optimized crystal structure of RbSr3F.

Cell: 7.648 7.648 7.648 Å, 90.00 90.00 90.00°
Fractional positions:
Sr (0.000, 0.500, 0.000)
Sr (0.000, 0.000, 0.500)
Sr (0.500, 0.000, 0.000)
Rb (0.000, 0.000, 0.000)
F (0.500, 0.500, 0.500)

Formation energy (no corrections) (eV per atom): 0.37
DOS(E_F) (states/eV per atom): 0.41
Excess energy over the best structure of this formula in the dataset (meV/atom): 1204.1

---

Entry 6:
VASP calculation (PBE-GGA) on an optimized crystal structure of Rb6SrF8.

Cell: 7.406 7.406 7.406 Å, 67.82 67.82 67.82°
Last column: magnetic moment on the atom in μB.
Fractional positions:
Rb (0.065, 0.500, 0.693)  0.00
Rb (0.307, 0.935, 0.500)  0.00
Rb (0.500, 0.307, 0.935)  0.00
Rb (0.500, 0.693, 0.065)  0.00
Rb (0.693, 0.065, 0.500)  0.00
Rb (0.935, 0.500, 0.307)  0.00
Sr (0.000, 0.000, 0.000)  0.00
F (0.163, 0.682, 0.905)  0.00
F (0.095, 0.837, 0.318)  0.00
F (0.318, 0.095, 0.837)  0.00
F (0.663, 0.663, 0.663)  0.10
F (0.337, 0.337, 0.337)  0.10
F (0.682, 0.905, 0.163)  0.00
F (0.905, 0.163, 0.682)  0.00
F (0.837, 0.318, 0.095)  0.00

Formation energy (no corrections) (eV per atom): -2.87
DOS(E_F) (states/eV per atom): 0.00

---

Entry 7:
VASP calculation (PBE-GGA) on an optimized crystal structure of Rb4Sr3F10.

Cell: 4.779 4.779 17.048 Å, 98.06 98.06 90.00°
Last column: magnetic moment on the atom in μB.
Fractional positions:
Rb (0.570, 0.570, 0.141)  0.00
Rb (0.430, 0.430, 0.859)  0.00
Rb (0.295, 0.295, 0.590)  0.00
Rb (0.705, 0.705, 0.410)  0.00
Sr (0.144, 0.144, 0.287)  0.00
Sr (0.856, 0.856, 0.713)  0.00
Sr (0.000, 0.000, 0.000)  0.00
F (0.142, 0.642, 0.284)  0.00
F (0.072, 0.072, 0.143)  0.01
F (0.642, 0.142, 0.284)  0.00
F (0.858, 0.358, 0.716)  0.00
F (0.358, 0.858, 0.716)  0.00
F (0.928, 0.928, 0.857)  0.01
F (0.215, 0.215, 0.431)  0.10
F (0.785, 0.785, 0.569)  0.10
F (0.000, 0.500, 0.000)  0.00
F (0.500, 0.000, 0.000)  0.00

Formation energy (no corrections) (eV per atom): -3.30
DOS(E_F) (states/eV per atom): 0.00

---

Entry 8:
VASP calculation (PBE-GGA) on an optimized crystal structure of RbSrF2.

Cell: 5.033 5.033 5.033 Å, 60.00 60.00 60.00°
Fractional positions:
Sr (0.500, 0.500, 0.500)
Rb (0.000, 0.000, 0.000)
F (0.250, 0.250, 0.250)
F (0.750, 0.750, 0.750)

Formation energy (no corrections) (eV per atom): -2.12
DOS(E_F) (states/eV per atom): 0.65
Excess energy over the best structure of this formula in the dataset (meV/atom): 641.2

---

Entry 9:
VASP calculation (PBE-GGA) on an optimized crystal structure of RbSrF2.

Cell: 6.424 6.424 7.649 Å, 65.17 65.17 90.00°
Fractional positions:
Sr (0.000, 0.000, 0.000)
Sr (0.750, 0.250, 0.500)
Rb (0.500, 0.500, 0.000)
Rb (0.250, 0.750, 0.500)
F (0.734, 0.125, 0.250)
F (0.016, 0.625, 0.250)
F (0.375, 0.266, 0.750)
F (0.875, 0.984, 0.750)

Formation energy (no corrections) (eV per atom): -2.68
DOS(E_F) (states/eV per atom): 0.18
Excess energy over the best structure of this formula in the dataset (meV/atom): 78.1

---

Entry 10:
VASP calculation (PBE-GGA) on an optimized crystal structure of RbSr2F.

Cell: 4.181 4.181 11.861 Å, 79.85 79.85 60.00°
Last column: magnetic moment on the atom in μB.
Fractional positions:
Sr (0.121, 0.121, 0.636)  0.09
Sr (0.879, 0.879, 0.364)  0.09
Rb (0.000, 0.000, 0.000)  -0.01
F (0.500, 0.500, 0.500)  0.03

Formation energy (no corrections) (eV per atom): -1.09
DOS(E_F) (states/eV per atom): 0.77
Excess energy over the best structure of this formula in the dataset (meV/atom): 206.5

---

Entry 11:
VASP calculation (PBE-GGA) on an optimized crystal structure of Rb3SrF.

Cell: 8.316 8.316 8.316 Å, 90.00 90.00 90.00°
Last column: magnetic moment on the atom in μB.
Fractional positions:
Sr (0.000, 0.000, 0.000)  0.11
Rb (0.000, 0.500, 0.000)  0.03
Rb (0.000, 0.000, 0.500)  0.02
Rb (0.500, 0.000, 0.000)  0.04
F (0.500, 0.500, 0.500)  0.04

Formation energy (no corrections) (eV per atom): -0.04
DOS(E_F) (states/eV per atom): 0.78
Excess energy over the best structure of this formula in the dataset (meV/atom): 784.3

---

Entry 12:
VASP calculation (PBE-GGA) on an optimized crystal structure of RbSr2F.

Cell: 6.540 6.540 6.540 Å, 60.00 60.00 60.00°
Fractional positions:
Sr (0.250, 0.250, 0.250)
Sr (0.750, 0.750, 0.750)
Rb (0.500, 0.500, 0.500)
F (0.000, 0.000, 0.000)

Formation energy (no corrections) (eV per atom): -0.37
DOS(E_F) (states/eV per atom): 0.65
Excess energy over the best structure of this formula in the dataset (meV/atom): 920.2

---

Question: DOS(E_F) of number 3 (Rb2SrF7)?
Answer: 0.00 states/eV per atom